[1]
DFT (GGA-PBE) results for an optimized crystal structure of Be2SbCl.

Lattice parameters (Å, degrees): 3.294 3.748 6.018 90.00 90.00 90.00
Atoms (fractional coordinates):
Be1 0.000 0.000 0.000
Be2 0.000 0.500 0.500
Sb1 0.500 0.000 0.500
Cl1 0.500 0.500 0.000

Output
VASP energy, Ry/atom: -0.20638
Magnetic moment, Bohr magnetons per cell: 0.0
Formation energy from raw total energies, eV/f.u.: 2.2


[2]
DFT (GGA-PBE) results for an optimized crystal structure of BeSbCl2.

Lattice parameters (Å, degrees): 5.208 3.291 5.462 90.00 101.42 90.00
Atoms (fractional coordinates):
Be1 0.000 0.000 0.000
Sb1 0.345 0.500 0.306
Cl1 0.039 0.000 0.653
Cl2 0.696 0.500 0.011

Output
VASP energy, Ry/atom: -0.24606
Magnetic moment, Bohr magnetons per cell: 0.0
Formation energy from raw total energies, eV/f.u.: -1.8


[3]
DFT (GGA-PBE) results for an optimized crystal structure of BeSb2Cl.

Lattice parameters (Å, degrees): 7.615 7.615 3.778 104.15 104.15 28.08
Atoms (fractional coordinates):
Be1 0.000 0.000 0.000
Sb1 0.376 0.376 0.886
Sb2 0.542 0.542 0.550
Cl1 0.756 0.756 0.273

Output
VASP energy, Ry/atom: -0.24916
Magnetic moment, Bohr magnetons per cell: 0.0
Formation energy from raw total energies, eV/f.u.: 0.3


[4]
DFT (GGA-PBE) results for an optimized crystal structure of BeSbCl2.

Lattice parameters (Å, degrees): 5.343 5.343 5.343 131.94 131.94 70.32
Atoms (fractional coordinates):
Be1 0.000 0.000 0.000
Sb1 0.500 0.500 0.000
Cl1 0.250 0.750 0.500
Cl2 0.750 0.250 0.500

Output
VASP energy, Ry/atom: -0.17970
Magnetic moment, Bohr magnetons per cell: 0.0
Formation energy from raw total energies, eV/f.u.: 1.8


[5]
DFT (GGA-PBE) results for an optimized crystal structure of Be2SbCl.

Lattice parameters (Å, degrees): 3.312 3.312 9.752 90.00 90.00 126.39
Atoms (fractional coordinates):
Be1 0.000 0.000 0.000
Be2 0.500 0.500 0.189
Sb1 0.500 0.500 0.779
Cl1 0.000 0.000 0.331

Output
VASP energy, Ry/atom: -0.23312
Magnetic moment, Bohr magnetons per cell: 0.0
Formation energy from raw total energies, eV/f.u.: 0.7


[6]
DFT (GGA-PBE) results for an optimized crystal structure of BeSbCl2.

Lattice parameters (Å, degrees): 5.248 5.248 3.282 90.00 90.00 109.90
Atoms (fractional coordinates):
Be1 0.000 0.000 0.000
Sb1 0.500 0.500 0.000
Cl1 0.000 0.500 0.500
Cl2 0.500 0.000 0.500

Output
VASP energy, Ry/atom: -0.18045
Magnetic moment, Bohr magnetons per cell: 0.0
Formation energy from raw total energies, eV/f.u.: 1.7


Distance to the lowest polymorph of the same formula, respectively: 0.7027; 0.2208; 0.2067; 1.1237; 0.3390; 1.1135 eV/atom.